Compound: TaTe2Cl
Source: Alexandria via LeMat-Bulk
Functional: PBE
Structure: optimized geometry

- mass density (kg/m³) = 8279
- ΔE_f (raw) (eV/f.u.) = -0.48
- E above lowest polymorph (eV/atom) = 0.3692
- space-group type = No. 123

Cell lengths 3.4431, 3.4431, 7.9795 Å; angles 90.00, 90.00, 89.99 degrees
Closest atoms and distances in Å follow each position.
Fractional coordinates of all 4 atoms:
Ta: 0.5000 0.5000 0.7500  8 Te 2.95
Te: 0.0000 0.0000 0.5419  4 Ta 2.95
Te: 0.0000 0.0000 0.9581  4 Ta 2.95
Cl: 0.5000 0.5000 0.2500  8 Te 3.37, 4 Cl 3.44